[1]
Density functional theory data (PBE-GGA) for LiErTl2Br6 after structural relaxation.

- Symmetry: No. 14
- Electronic total energy: -3.53 eV/atom
- DOS(E_F): 0.000 states/eV per atom

extended XYZ file:
```
20
Lattice="-7.413 -1.486 -0.472 0.936 -6.180 4.751 -1.858 6.300 8.561" Properties=species:S:1:pos:R:3 pbc="T T T"
Tl 0.265 -4.198 6.577
Br -2.412 -1.924 7.153
Li -3.707 -0.743 -0.236
Br -5.924 0.557 5.686
Li -0.461 0.060 6.656
Br -1.367 -1.325 1.238
Tl -4.711 0.456 8.893
Br -1.545 1.583 8.685
Er 0.468 -3.090 2.376
Br -3.570 -1.989 10.925
Br -6.722 3.156 9.288
Br -4.767 0.622 1.914
Er -4.636 2.407 4.044
Br -1.615 -4.522 3.551
Br -6.969 -0.041 11.601
Tl -8.601 2.832 6.262
Br -2.174 1.335 4.793
Br -6.162 -2.701 8.046
Br -6.791 -2.949 4.154
Tl -3.625 -1.823 3.946
```

---

[2]
Density functional theory data (PBE-GGA) for ErLu2Br after structural relaxation.

- Symmetry: No. 166
- Electronic total energy: -4.29 eV/atom
- DOS(E_F): 1.194 states/eV per atom

extended XYZ file:
```
4
Lattice="3.589 0.000 0.000 1.794 3.108 0.000 1.794 1.036 10.024" Properties=species:S:1:pos:R:3 pbc="T T T"
Er 3.589 2.072 5.012
Lu 5.383 3.108 7.711
Br 0.000 0.000 0.000
Lu 1.794 1.036 2.313
```

---

[3]
Density functional theory data (PBE-GGA) for ErLuBr after structural relaxation.

- Symmetry: No. 156
- Electronic total energy: -4.29 eV/atom
- DOS(E_F): 1.216 states/eV per atom

extended XYZ file:
```
3
Lattice="3.653 0.000 0.000 -1.827 3.164 0.000 0.000 0.000 7.177" Properties=species:S:1:pos:R:3 pbc="T T T"
Br 0.000 2.109 4.790
Er 1.827 1.055 2.479
Lu 0.000 0.000 7.086
```

---

[4]
Density functional theory data (PBE-GGA) for Er2MgBr after structural relaxation.

- Symmetry: No. 166
- Electronic total energy: -3.29 eV/atom
- DOS(E_F): 1.314 states/eV per atom

extended XYZ file:
```
4
Lattice="3.433 0.000 0.000 1.717 2.973 0.000 1.717 0.991 11.273" Properties=species:S:1:pos:R:3 pbc="T T T"
Br 3.433 1.982 5.636
Mg 0.000 0.000 0.000
Er 1.717 0.991 8.009
Er 5.150 2.973 3.264
```

---

[5]
Density functional theory data (PBE-GGA) for ErMgBr4 after structural relaxation.

- Symmetry: No. 10
- Electronic total energy: -3.61 eV/atom
- DOS(E_F): 0.364 states/eV per atom

extended XYZ file:
```
6
Lattice="3.737 0.000 0.000 0.000 7.558 0.467 0.000 -2.380 6.836" Properties=species:S:1:pos:R:3 pbc="T T T"
Er 1.868 3.779 0.234
Mg 0.000 2.589 3.652
Br 1.868 1.554 2.021
Br 1.868 3.624 5.283
Br 0.000 4.868 2.151
Br 0.000 0.310 5.152
```

---

[6]
Density functional theory data (PBE-GGA) for NaErMg2Br8 after structural relaxation.

- Symmetry: No. 10
- Electronic total energy: -3.43 eV/atom
- DOS(E_F): 0.000 states/eV per atom

extended XYZ file:
```
12
Lattice="-3.230 5.880 0.377 -4.443 -2.147 -4.215 -4.518 -2.881 6.229" Properties=species:S:1:pos:R:3 pbc="T T T"
Er 0.000 0.000 0.000
Mg -5.021 1.111 -0.286
Br -9.875 -0.476 3.456
Br -2.316 1.328 -1.065
Br -4.750 3.615 0.810
Br -5.076 -1.256 -1.680
Br -4.626 -0.085 2.026
Mg -7.171 -0.258 2.676
Na -2.259 -1.440 3.114
Br -7.115 2.108 4.070
Br -7.566 0.937 0.365
Br -7.442 -2.763 1.580
```